Record 1
The following is a PBE calculation of an optimized crystal structure of Rb2Tm2NpS6, from the Alexandria database.

Cell lengths 6.906, 6.906, 8.205 Å; angles 98.20, 98.20, 119.99 degrees
Site moments in Bohr magnetons follow the coordinates.
Fractional coordinates of all 11 atoms:
Np (0.000, 0.000, 0.500)  3.20
S (0.268, 0.268, 0.316)  -0.04
S (0.939, 0.606, 0.315)  -0.03
S (0.732, 0.732, 0.684)  -0.04
S (0.061, 0.394, 0.685)  -0.03
S (0.606, 0.939, 0.315)  -0.03
S (0.394, 0.061, 0.685)  -0.03
Tm (0.334, 0.666, 0.500)  0.01
Tm (0.666, 0.334, 0.500)  0.01
Rb (0.168, 0.832, 0.000)  0.00
Rb (0.832, 0.168, 0.000)  0.00

Results
- Spin magnetization: 0.273 μB per atom
- ΔE_f (raw): -1.714 eV per atom
- V: 29.53 Å³/atom
- Crystal system: monoclinic

Record 2
The following is a PBE calculation of an optimized crystal structure of Rb3TmNp2S6, from the Alexandria database.

Cell lengths 7.091, 7.091, 8.036 Å; angles 98.46, 98.46, 120.00 degrees
Site moments in Bohr magnetons follow the coordinates.
Fractional coordinates of all 12 atoms:
S (0.393, 0.064, 0.191)  -0.05
S (0.265, 0.265, 0.809)  -0.05
S (0.607, 0.936, 0.809)  -0.05
S (0.064, 0.393, 0.191)  -0.05
S (0.936, 0.607, 0.809)  -0.05
S (0.735, 0.735, 0.191)  -0.05
Rb (0.500, 0.500, 0.500)  0.00
Rb (0.167, 0.833, 0.500)  0.00
Rb (0.833, 0.167, 0.500)  0.00
Np (0.667, 0.333, 0.000)  3.88
Np (0.333, 0.667, 0.000)  3.88
Tm (0.000, 0.000, 0.000)  0.06

Results
- Spin magnetization: 0.667 μB per atom
- ΔE_f (raw): -1.511 eV per atom
- V: 27.87 Å³/atom
- Crystal system: monoclinic

Record 3
The following is a PBE calculation of an optimized crystal structure of Rb2TmNpS4, from the Alexandria database.

Cell lengths 4.081, 7.086, 8.028 Å; angles 107.13, 90.00, 90.00 degrees
Site moments in Bohr magnetons follow the coordinates.
Fractional coordinates of all 8 atoms:
S (0.000, 0.265, 0.810)  -0.05
S (0.500, 0.224, 0.191)  -0.02
S (0.500, 0.776, 0.809)  -0.02
S (0.000, 0.735, 0.190)  -0.05
Tm (0.000, 0.000, 0.000)  0.05
Np (0.500, 0.500, 0.000)  3.85
Rb (0.000, 0.500, 0.500)  0.00
Rb (0.500, 0.000, 0.500)  0.00

Results
- Spin magnetization: 0.500 μB per atom
- ΔE_f (raw): -1.590 eV per atom
- V: 27.73 Å³/atom
- Crystal system: monoclinic